Record 1
VASP calculation (SCAN) on a crystal of Co3Pt relaxed with PBEsol.

The formation energy is -48 meV per atom. The volume is 11.721 A^3/atom. The total magnetic moment is 6.0 μB per formula unit.

It has space group Pnma (No. 62), with a = 4.459 Å, b = 8.204 Å, c = 5.126 Å, α = 90.00°, β = 90.00° and γ = 90.00°. The asymmetric unit holds Co at (0.080, 0.250, 0.123), Co at (0.237, 0.504, 0.864) and Pt at (0.075, 0.250, 0.611).

Record 2
VASP calculation (SCAN) on a crystal of CoPt relaxed with PBEsol.

The formation energy is -69 meV per atom. The volume is 13.032 A^3/atom. The total magnetic moment is 2.3 μB per formula unit.

It has space group P-6m2 (No. 187), with a = 2.6785 Å, b = 2.6785 Å, c = 4.1949 Å, α = 90.00°, β = 90.00° and γ = 120.00°. The asymmetric unit holds Co at (0.0000, 0.0000, 0.0000) and Pt at (0.6667, 0.3333, 0.5000).